No. 1
{
  "formula": "HfTi5Mn4",
  "functional": "GGA-PBE",
  "state": "optimized geometry",
  "rho_g_cm3": 7.26,
  "total_magnetization_mub_per_cell": 1.989,
  "dft_energy_ev_per_atom": -8.79,
  "space_group": "No. 123",
  "lattice_angstrom": [[3.015, 0.000, 0.000], [0.000, 3.015, 0.000], [0.000, 0.000, 16.047]],
  "species": ["Hf", "Ti", "Ti", "Ti", "Ti", "Ti", "Mn", "Mn", "Mn", "Mn"],
  "fractional_positions": [[0.000, 0.000, 0.000], [0.500, 0.500, 0.135], [0.500, 0.500, 0.314], [0.500, 0.500, 0.500], [0.500, 0.500, 0.686], [0.500, 0.500, 0.865], [0.000, 0.000, 0.220], [0.000, 0.000, 0.408], [0.000, 0.000, 0.592], [0.000, 0.000, 0.780]]
}

---

No. 2
{
  "formula": "HfTiMn4",
  "functional": "GGA-PBE",
  "state": "optimized geometry",
  "rho_g_cm3": 9.16,
  "total_magnetization_mub_per_cell": 2.929,
  "dft_energy_ev_per_atom": -9.34,
  "space_group": "No. 216",
  "lattice_angstrom": [[0.000, 3.432, 3.432], [3.432, 0.000, 3.432], [3.432, 3.432, 0.000]],
  "species": ["Hf", "Ti", "Mn", "Mn", "Mn", "Mn"],
  "fractional_positions": [[0.000, 0.000, 0.000], [0.750, 0.750, 0.750], [0.375, 0.375, 0.375], [0.375, 0.375, 0.874], [0.375, 0.874, 0.375], [0.874, 0.375, 0.375]]
}

---

No. 3
{
  "formula": "Hf2Ti2Mn",
  "functional": "GGA-PBE",
  "state": "optimized geometry",
  "rho_g_cm3": 9.31,
  "total_magnetization_mub_per_cell": 0.000,
  "dft_energy_ev_per_atom": -8.92,
  "space_group": "No. 127",
  "lattice_angstrom": [[6.115, 0.000, 0.000], [0.000, 6.115, 0.000], [0.000, 0.000, 4.844]],
  "species": ["Hf", "Hf", "Hf", "Hf", "Ti", "Ti", "Ti", "Ti", "Mn", "Mn"],
  "fractional_positions": [[0.168, 0.332, 0.000], [0.332, 0.832, 0.000], [0.668, 0.168, 0.000], [0.832, 0.668, 0.000], [0.154, 0.654, 0.500], [0.346, 0.154, 0.500], [0.654, 0.846, 0.500], [0.846, 0.346, 0.500], [0.000, 0.000, 0.500], [0.500, 0.500, 0.500]]
}

---

No. 4
{
  "formula": "Hf2TiMn",
  "functional": "GGA-PBE",
  "state": "optimized geometry",
  "rho_g_cm3": 10.20,
  "total_magnetization_mub_per_cell": 1.116,
  "de_polymorph_ev_per_fu": 1.880,
  "space_group": "No. 122",
  "lattice_angstrom": [[-3.621, 3.621, 2.855], [3.621, -3.621, 2.855], [3.621, 3.621, -2.855]],
  "species": ["Hf", "Hf", "Hf", "Hf", "Ti", "Ti", "Mn", "Mn"],
  "fractional_positions": [[0.083, 0.625, 0.958], [0.375, 0.333, 0.458], [0.667, 0.125, 0.042], [0.875, 0.917, 0.542], [0.250, 0.750, 0.500], [0.500, 0.500, 0.000], [0.000, 0.000, 0.000], [0.750, 0.250, 0.500]]
}

---

No. 5
{
  "formula": "HfTiMn",
  "functional": "GGA-PBE",
  "state": "optimized geometry",
  "rho_g_cm3": 9.30,
  "total_magnetization_mub_per_cell": 0.001,
  "de_polymorph_ev_per_fu": 0.260,
  "space_group": "No. 57",
  "lattice_angstrom": [[5.157, 0.000, 0.000], [0.000, 7.035, 0.000], [0.000, 0.000, 5.535]],
  "species": ["Hf", "Hf", "Hf", "Hf", "Ti", "Ti", "Ti", "Ti", "Mn", "Mn", "Mn", "Mn"],
  "fractional_positions": [[0.128, 0.108, 0.250], [0.128, 0.392, 0.750], [0.872, 0.608, 0.250], [0.872, 0.892, 0.750], [0.379, 0.750, 0.000], [0.379, 0.750, 0.500], [0.621, 0.250, 0.000], [0.621, 0.250, 0.500], [0.350, 0.037, 0.750], [0.350, 0.463, 0.250], [0.650, 0.537, 0.750], [0.650, 0.963, 0.250]]
}

---

No. 6
{
  "formula": "Hf2TiMn",
  "functional": "GGA-PBE",
  "state": "optimized geometry",
  "rho_g_cm3": 10.91,
  "total_magnetization_mub_per_cell": 0.000,
  "de_polymorph_ev_per_fu": 0.445,
  "space_group": "No. 225",
  "lattice_angstrom": [[0.000, 3.271, 3.271], [3.271, 0.000, 3.271], [3.271, 3.271, 0.000]],
  "species": ["Hf", "Hf", "Ti", "Mn"],
  "fractional_positions": [[0.250, 0.250, 0.250], [0.750, 0.750, 0.750], [0.000, 0.000, 0.000], [0.500, 0.500, 0.500]]
}

---

No. 7
{
  "formula": "HfTi3Mn",
  "functional": "GGA-PBE",
  "state": "optimized geometry",
  "rho_g_cm3": 5.89,
  "total_magnetization_mub_per_cell": 0.010,
  "de_polymorph_ev_per_fu": 8.571,
  "space_group": "No. 221",
  "lattice_angstrom": [[4.738, 0.000, 0.000], [0.000, 4.738, 0.000], [0.000, 0.000, 4.738]],
  "species": ["Hf", "Ti", "Ti", "Ti", "Mn"],
  "fractional_positions": [[0.000, 0.000, 0.000], [0.000, 0.000, 0.500], [0.000, 0.500, 0.000], [0.500, 0.000, 0.000], [0.500, 0.500, 0.500]]
}

---

No. 8
{
  "formula": "HfTi2Mn2",
  "functional": "GGA-PBE",
  "state": "optimized geometry",
  "rho_g_cm3": 7.88,
  "total_magnetization_mub_per_cell": 3.113,
  "de_polymorph_ev_per_fu": 1.132,
  "space_group": "No. 139",
  "lattice_angstrom": [[-2.035, 2.035, 9.771], [2.035, -2.035, 9.771], [2.035, 2.035, -9.771]],
  "species": ["Hf", "Hf", "Ti", "Ti", "Ti", "Ti", "Mn", "Mn", "Mn", "Mn"],
  "fractional_positions": [[0.135, 0.135, 0.000], [0.865, 0.865, 0.000], [0.000, 0.500, 0.500], [0.312, 0.312, 0.000], [0.500, 0.000, 0.500], [0.688, 0.688, 0.000], [0.250, 0.750, 0.500], [0.431, 0.431, 0.000], [0.569, 0.569, 0.000], [0.750, 0.250, 0.500]]
}

---

No. 9
{
  "formula": "Hf2TiMn",
  "functional": "GGA-PBE",
  "state": "optimized geometry",
  "rho_g_cm3": 10.73,
  "total_magnetization_mub_per_cell": 0.358,
  "de_polymorph_ev_per_fu": 0.352,
  "space_group": "No. 123",
  "lattice_angstrom": [[4.666, 0.000, 0.000], [0.000, 4.666, 0.000], [0.000, 0.000, 3.268]],
  "species": ["Hf", "Hf", "Ti", "Mn"],
  "fractional_positions": [[0.000, 0.500, 0.000], [0.500, 0.000, 0.000], [0.000, 0.000, 0.500], [0.500, 0.500, 0.500]]
}

---

No. 10
{
  "formula": "HfTi2Mn2",
  "functional": "GGA-PBE",
  "state": "optimized geometry",
  "rho_g_cm3": 8.23,
  "total_magnetization_mub_per_cell": 2.181,
  "de_polymorph_ev_per_fu": 0.163,
  "space_group": "No. 127",
  "lattice_angstrom": [[7.107, 0.000, 0.000], [0.000, 7.107, 0.000], [0.000, 0.000, 3.069]],
  "species": ["Hf", "Hf", "Ti", "Ti", "Ti", "Ti", "Mn", "Mn", "Mn", "Mn"],
  "fractional_positions": [[0.000, 0.000, 0.000], [0.500, 0.500, 0.000], [0.148, 0.352, 0.500], [0.352, 0.852, 0.500], [0.648, 0.148, 0.500], [0.852, 0.648, 0.500], [0.145, 0.645, 0.000], [0.355, 0.145, 0.000], [0.645, 0.855, 0.000], [0.855, 0.355, 0.000]]
}

---

No. 11
{
  "formula": "HfTi3Mn",
  "functional": "GGA-PBE",
  "state": "optimized geometry",
  "rho_g_cm3": 7.29,
  "total_magnetization_mub_per_cell": 0.000,
  "de_polymorph_ev_per_fu": 0.000,
  "space_group": "No. 63",
  "lattice_angstrom": [[2.890, -5.745, 0.000], [2.890, 5.745, 0.000], [0.000, 0.000, 5.176]],
  "species": ["Hf", "Hf", "Ti", "Ti", "Ti", "Ti", "Ti", "Ti", "Mn", "Mn"],
  "fractional_positions": [[0.090, 0.910, 0.750], [0.910, 0.090, 0.250], [0.124, 0.396, 0.750], [0.326, 0.674, 0.250], [0.396, 0.124, 0.250], [0.604, 0.876, 0.750], [0.674, 0.326, 0.750], [0.876, 0.604, 0.250], [0.500, 0.500, 0.000], [0.500, 0.500, 0.500]]
}

---

No. 12
{
  "formula": "HfTiMn3",
  "functional": "GGA-PBE",
  "state": "optimized geometry",
  "rho_g_cm3": 8.01,
  "total_magnetization_mub_per_cell": 5.005,
  "de_polymorph_ev_per_fu": 0.000,
  "space_group": "No. 221",
  "lattice_angstrom": [[4.328, 0.000, 0.000], [0.000, 4.328, 0.000], [0.000, 0.000, 4.328]],
  "species": ["Hf", "Ti", "Mn", "Mn", "Mn"],
  "fractional_positions": [[0.000, 0.000, 0.000], [0.500, 0.500, 0.500], [0.000, 0.500, 0.500], [0.500, 0.000, 0.500], [0.500, 0.500, 0.000]]
}

---

No. 13
{
  "formula": "HfTi2Mn3",
  "functional": "GGA-PBE",
  "state": "optimized geometry",
  "rho_g_cm3": 8.52,
  "total_magnetization_mub_per_cell": 2.235,
  "dft_energy_ev_per_atom": -9.06,
  "space_group": "No. 123",
  "lattice_angstrom": [[3.059, 0.000, 0.000], [0.000, 3.059, 0.000], [0.000, 0.000, 9.141]],
  "species": ["Hf", "Ti", "Ti", "Mn", "Mn", "Mn"],
  "fractional_positions": [[0.000, 0.000, 0.000], [0.000, 0.000, 0.337], [0.000, 0.000, 0.663], [0.500, 0.500, 0.182], [0.500, 0.500, 0.500], [0.500, 0.500, 0.818]]
}

---

No. 14
{
  "formula": "HfTi4Mn",
  "functional": "GGA-PBE",
  "state": "optimized geometry",
  "rho_g_cm3": 7.04,
  "total_magnetization_mub_per_cell": 0.000,
  "dft_energy_ev_per_atom": -8.53,
  "space_group": "No. 12",
  "lattice_angstrom": [[4.806, -2.243, 0.000], [4.806, 2.243, 0.000], [-2.971, 0.000, 4.650]],
  "species": ["Hf", "Ti", "Ti", "Ti", "Ti", "Mn"],
  "fractional_positions": [[0.000, 0.000, 0.000], [0.286, 0.286, 0.640], [0.357, 0.357, 0.202], [0.643, 0.643, 0.798], [0.714, 0.714, 0.360], [0.000, 0.000, 0.500]]
}

---

No. 15
{
  "formula": "HfTi3Mn4",
  "functional": "GGA-PBE",
  "state": "optimized geometry",
  "rho_g_cm3": 8.02,
  "total_magnetization_mub_per_cell": 2.860,
  "dft_energy_ev_per_atom": -8.98,
  "space_group": "No. 123",
  "lattice_angstrom": [[4.291, 0.000, 0.000], [0.000, 4.291, 0.000], [0.000, 0.000, 6.096]],
  "species": ["Hf", "Ti", "Ti", "Ti", "Mn", "Mn", "Mn", "Mn"],
  "fractional_positions": [[0.000, 0.000, 0.000], [0.000, 0.000, 0.500], [0.500, 0.500, 0.000], [0.500, 0.500, 0.500], [0.000, 0.500, 0.259], [0.000, 0.500, 0.741], [0.500, 0.000, 0.259], [0.500, 0.000, 0.741]]
}

---

No. 16
{
  "formula": "HfTi3Mn",
  "functional": "GGA-PBE",
  "state": "optimized geometry",
  "rho_g_cm3": 6.81,
  "total_magnetization_mub_per_cell": 0.000,
  "de_polymorph_ev_per_fu": 1.416,
  "space_group": "No. 221",
  "lattice_angstrom": [[4.514, 0.000, 0.000], [0.000, 4.514, 0.000], [0.000, 0.000, 4.514]],
  "species": ["Hf", "Ti", "Ti", "Ti", "Mn"],
  "fractional_positions": [[0.000, 0.000, 0.000], [0.000, 0.500, 0.500], [0.500, 0.000, 0.500], [0.500, 0.500, 0.000], [0.500, 0.500, 0.500]]
}

---

No. 17
{
  "formula": "Hf2TiMn",
  "functional": "GGA-PBE",
  "state": "optimized geometry",
  "rho_g_cm3": 10.74,
  "total_magnetization_mub_per_cell": 0.000,
  "de_polymorph_ev_per_fu": 0.000,
  "space_group": "No. 123",
  "lattice_angstrom": [[3.176, 0.000, 0.000], [0.000, 3.176, 0.000], [0.000, 0.000, 7.049]],
  "species": ["Hf", "Hf", "Ti", "Mn"],
  "fractional_positions": [[0.000, 0.000, 0.218], [0.000, 0.000, 0.782], [0.500, 0.500, 0.500], [0.500, 0.500, 0.000]]
}

---

No. 18
{
  "formula": "HfTiMnZn2",
  "functional": "GGA-PBE",
  "state": "optimized geometry",
  "rho_g_cm3": 7.33,
  "total_magnetization_mub_per_cell": 1.126,
  "dft_energy_ev_per_atom": -5.18,
  "space_group": "No. 123",
  "lattice_angstrom": [[4.760, 0.000, 0.000], [0.000, 4.760, 0.000], [0.000, 0.000, 4.122]],
  "species": ["Hf", "Ti", "Mn", "Zn", "Zn"],
  "fractional_positions": [[0.000, 0.000, 0.000], [0.500, 0.500, 0.500], [0.500, 0.500, 0.000], [0.000, 0.500, 0.500], [0.500, 0.000, 0.500]]
}

---

No. 19
{
  "formula": "Hf2Ti5Mn2Zn",
  "functional": "GGA-PBE",
  "state": "optimized geometry",
  "rho_g_cm3": 7.63,
  "total_magnetization_mub_per_cell": 0.001,
  "dft_energy_ev_per_atom": -7.99,
  "space_group": "No. 127",
  "lattice_angstrom": [[10.331, 0.000, 0.000], [0.000, 10.331, 0.000], [0.000, 0.000, 3.145]],
  "species": ["Hf", "Hf", "Hf", "Hf", "Ti", "Ti", "Ti", "Ti", "Ti", "Ti", "Ti", "Ti", "Ti", "Ti", "Mn", "Mn", "Mn", "Mn", "Zn", "Zn"],
  "fractional_positions": [[0.179, 0.321, 0.000], [0.321, 0.821, 0.000], [0.679, 0.179, 0.000], [0.821, 0.679, 0.000], [0.000, 0.500, 0.500], [0.060, 0.792, 0.500], [0.208, 0.060, 0.500], [0.292, 0.560, 0.500], [0.440, 0.292, 0.500], [0.500, 0.000, 0.500], [0.560, 0.708, 0.500], [0.708, 0.440, 0.500], [0.792, 0.940, 0.500], [0.940, 0.208, 0.500], [0.128, 0.628, 0.000], [0.372, 0.128, 0.000], [0.628, 0.872, 0.000], [0.872, 0.372, 0.000], [0.000, 0.000, 0.000], [0.500, 0.500, 0.000]]
}

---

No. 20
{
  "formula": "HfMn2Tl",
  "functional": "GGA-PBE",
  "state": "optimized geometry",
  "rho_g_cm3": 11.91,
  "total_magnetization_mub_per_cell": 5.136,
  "de_polymorph_ev_per_fu": 0.000,
  "space_group": "No. 225",
  "lattice_angstrom": [[0.000, 3.251, 3.251], [3.251, 0.000, 3.251], [3.251, 3.251, 0.000]],
  "species": ["Hf", "Mn", "Mn", "Tl"],
  "fractional_positions": [[0.000, 0.000, 0.000], [0.250, 0.250, 0.250], [0.750, 0.750, 0.750], [0.500, 0.500, 0.500]]
}

---

No. 21
{
  "formula": "Hf2Mn2Tl",
  "functional": "GGA-PBE",
  "state": "optimized geometry",
  "rho_g_cm3": 12.68,
  "total_magnetization_mub_per_cell": 0.000,
  "dft_energy_ev_per_atom": -8.04,
  "space_group": "No. 127",
  "lattice_angstrom": [[7.047, 0.000, 0.000], [0.000, 7.047, 0.000], [0.000, 0.000, 3.539]],
  "species": ["Hf", "Hf", "Hf", "Hf", "Mn", "Mn", "Mn", "Mn", "Tl", "Tl"],
  "fractional_positions": [[0.184, 0.316, 0.000], [0.316, 0.816, 0.000], [0.684, 0.184, 0.000], [0.816, 0.684, 0.000], [0.103, 0.603, 0.500], [0.397, 0.103, 0.500], [0.603, 0.897, 0.500], [0.897, 0.397, 0.500], [0.000, 0.000, 0.500], [0.500, 0.500, 0.500]]
}

---

No. 22
{
  "formula": "HfMnTl",
  "functional": "GGA-PBE",
  "state": "optimized geometry",
  "rho_g_cm3": 9.86,
  "total_magnetization_mub_per_cell": 3.657,
  "dft_energy_ev_per_atom": -6.29,
  "space_group": "No. 216",
  "lattice_angstrom": [[0.000, 3.328, 3.328], [3.328, 0.000, 3.328], [3.328, 3.328, 0.000]],
  "species": ["Hf", "Mn", "Tl"],
  "fractional_positions": [[0.000, 0.000, 0.000], [0.250, 0.250, 0.250], [0.750, 0.750, 0.750]]
}

---

No. 23
{
  "formula": "Hf6Mn2Tl",
  "functional": "GGA-PBE",
  "state": "optimized geometry",
  "rho_g_cm3": 12.68,
  "total_magnetization_mub_per_cell": 0.001,
  "dft_energy_ev_per_atom": -8.97,
  "space_group": "No. 71",
  "lattice_angstrom": [[-4.333, 4.402, 4.755], [4.333, -4.402, 4.755], [4.333, 4.402, -4.755]],
  "species": ["Hf", "Hf", "Hf", "Hf", "Hf", "Hf", "Hf", "Hf", "Hf", "Hf", "Hf", "Hf", "Mn", "Mn", "Mn", "Mn", "Tl", "Tl"],
  "fractional_positions": [[0.027, 0.242, 0.785], [0.196, 0.283, 0.479], [0.196, 0.717, 0.912], [0.323, 0.011, 0.688], [0.323, 0.635, 0.312], [0.458, 0.242, 0.215], [0.542, 0.758, 0.785], [0.677, 0.365, 0.688], [0.677, 0.989, 0.312], [0.804, 0.283, 0.088], [0.804, 0.717, 0.521], [0.973, 0.758, 0.215], [0.110, 0.610, 0.500], [0.335, 0.000, 0.335], [0.665, 0.000, 0.665], [0.890, 0.390, 0.500], [0.000, 0.000, 0.000], [0.500, 0.500, 0.000]]
}

---

No. 24
{
  "formula": "HfMn2Tl",
  "functional": "GGA-PBE",
  "state": "optimized geometry",
  "rho_g_cm3": 10.42,
  "total_magnetization_mub_per_cell": 11.444,
  "de_polymorph_ev_per_fu": 1.778,
  "space_group": "No. 122",
  "lattice_angstrom": [[-3.696, 3.696, 2.876], [3.696, -3.696, 2.876], [3.696, 3.696, -2.876]],
  "species": ["Hf", "Hf", "Mn", "Mn", "Mn", "Mn", "Tl", "Tl"],
  "fractional_positions": [[0.000, 0.000, 0.000], [0.750, 0.250, 0.500], [0.121, 0.625, 0.996], [0.375, 0.371, 0.496], [0.629, 0.125, 0.004], [0.875, 0.879, 0.504], [0.250, 0.750, 0.500], [0.500, 0.500, 0.000]]
}